Here is a relaxed NiSbH2F crystal from Alexandria. Energies are from PBE+U.

Cell: 4.046 3.694 4.046 Å, 90.00 90.00 90.00°
Sites, in units of the cell vectors:
Sb1 0.500 0.500 0.500
F1 0.000 0.000 0.000
H1 0.000 0.000 0.500
H2 0.500 0.000 0.000
Ni1 0.000 0.500 0.000

Calculated values
Crystal system ... tetragonal
Space-group type ... P4/mmm, No. 123
Total DFT energy (no corrections) ... -2.599 eV/atom